# Mn4Pb3O8

A relaxed structure of Mn4Pb3O8 (PBE with a Hubbard U, Alexandria).

- Theoretical density: 7.30 g/cm3
- Electronic total energy: -6.5804 eV/atom
- DOS(E_F): 4.5 states/eV/cell

Geometry as CIF:
```
data_Mn4Pb3O8
_chemical_formula_sum 'Mn8 Pb6 O16'
_cell_length_a 9.428
_cell_length_b 9.740
_cell_length_c 6.551
_cell_angle_alpha 90.00
_cell_angle_beta 132.86
_cell_angle_gamma 90.00
_space_group_name_H-M_alt 'C 1 2/m 1'
_space_group_IT_number 12
_space_group_name_Hall '-C 2y'
loop_
_atom_site_label
_atom_site_type_symbol
_atom_site_fract_x
_atom_site_fract_y
_atom_site_fract_z
_atom_site_occupancy
Mn1 Mn 0.000 0.000 0.000 1
Mn2 Mn 0.000 0.000 0.500 1
Mn3 Mn 0.250 0.250 0.000 1
Pb1 Pb 0.000 0.500 0.000 1
Pb2 Pb 0.250 0.250 0.500 1
O1 O 0.000 0.234 0.000 1
O2 O 0.000 0.243 0.500 1
O3 O 0.196 0.000 0.469 1
O4 O 0.198 0.000 0.920 1
```